# 1
This record from Alexandria describes ScNbF2 after structural relaxation. The functional is PBE.

VASP energy, eV/cell: -103.6
Theoretical density, Mg/m³: 4.55
Formation energy from raw total energies, eV per atom: -1.44

abc: 5.080 5.080 9.938
angles: 90.00 90.00 90.00
Atoms (fractional coordinates):
Sc 0.000 0.000 0.000
Sc 0.000 0.500 0.250
Sc 0.500 0.000 0.750
Sc 0.500 0.500 0.500
Nb 0.000 0.000 0.500
Nb 0.000 0.500 0.750
Nb 0.500 0.000 0.250
Nb 0.500 0.500 0.000
F 0.200 0.250 0.125
F 0.250 0.700 0.375
F 0.250 0.800 0.875
F 0.300 0.250 0.625
F 0.700 0.750 0.625
F 0.750 0.200 0.875
F 0.750 0.300 0.375
F 0.800 0.750 0.125


# 2
This record from Alexandria describes ScNbF3 after structural relaxation. The functional is PBE.

VASP energy, eV/cell: -29.5
Theoretical density, Mg/m³: 3.85
Formation energy from raw total energies, eV per atom: -1.49

abc: 4.382 4.382 4.382
angles: 90.00 90.00 90.00
Atoms (fractional coordinates):
Sc 0.000 0.000 0.000
Nb 0.500 0.500 0.500
F 0.000 0.500 0.500
F 0.500 0.000 0.500
F 0.500 0.500 0.000


# 3
This record from Alexandria describes Sc2NbF after structural relaxation. The functional is PBE.

VASP energy, eV/cell: -98.8
Theoretical density, Mg/m³: 4.39
Formation energy from raw total energies, eV per atom: -0.02

abc: 6.736 6.736 6.736
angles: 90.00 90.00 90.00
Atoms (fractional coordinates):
Sc 0.250 0.250 0.250
Sc 0.250 0.250 0.750
Sc 0.250 0.750 0.250
Sc 0.250 0.750 0.750
Sc 0.750 0.250 0.250
Sc 0.750 0.250 0.750
Sc 0.750 0.750 0.250
Sc 0.750 0.750 0.750
Nb 0.000 0.000 0.000
Nb 0.000 0.500 0.500
Nb 0.500 0.000 0.500
Nb 0.500 0.500 0.000
F 0.000 0.000 0.500
F 0.000 0.500 0.000
F 0.500 0.000 0.000
F 0.500 0.500 0.500